No. 1
A relaxed structure of Sm6Si2SeS3, computed with PBE.

Results
- Crystal system: monoclinic
- Space-group type: C2/m

a = 9.1983 Å, b = 9.1983 Å, c = 8.2518 Å
α = 102.49°, β = 102.49°, γ = 25.89°
Closest atoms and distances in Å follow each position.
Fractional positions:
Sm 0.0030 0.0030 0.2616  1 Si 2.86, 3 S 2.86-2.93, 2 Se 2.98
Sm 0.3302 0.3302 0.9093  2 Si 2.88, 3 S 2.89-2.93, 1 Se 2.97
Sm 0.3331 0.3331 0.4164  3 Si 2.92, 3 S 2.92-2.94
Sm 0.6669 0.6669 0.5836  3 Si 2.92, 3 S 2.92-2.94
Sm 0.6698 0.6698 0.0907  2 Si 2.88, 3 S 2.89-2.93, 1 Se 2.97
Sm 0.9970 0.9970 0.7384  1 Si 2.86, 3 S 2.86-2.93, 2 Se 2.98
Si 0.1663 0.1663 0.3332  6 Sm 2.86-2.92
Si 0.8337 0.8337 0.6668  6 Sm 2.86-2.92
Se 0.5000 0.5000 0.0000  6 Sm 2.97-2.98
S 0.1647 0.1647 0.8360  6 Sm 2.89-2.94
S 0.5000 0.5000 0.5000  6 Sm 2.86-2.92
S 0.8353 0.8353 0.1640  6 Sm 2.89-2.94

No. 2
A relaxed structure of Sm6Si2Se3S, computed with PBE.

Results
- Crystal system: monoclinic
- Space-group type: C2/m

a = 9.3650 Å, b = 9.3650 Å, c = 8.3832 Å
α = 103.62°, β = 103.62°, γ = 25.70°
Closest atoms and distances in Å follow each position.
Fractional positions:
Sm 0.0050 0.0050 0.2443  1 Si 2.85, 2 S 2.91, 3 Se 3.01-3.02
Sm 0.3309 0.3309 0.4236  3 Si 2.92-2.93, 3 Se 3.00-3.02
Sm 0.3356 0.3356 0.9070  2 Si 2.88, 1 S 2.91, 3 Se 3.01-3.02
Sm 0.6644 0.6644 0.0930  2 Si 2.88, 1 S 2.91, 3 Se 3.01-3.02
Sm 0.6691 0.6691 0.5764  3 Si 2.92-2.93, 3 Se 3.00-3.02
Sm 0.9950 0.9950 0.7557  1 Si 2.85, 2 S 2.91, 3 Se 3.01-3.02
Si 0.1659 0.1659 0.3312  6 Sm 2.85-2.93
Si 0.8341 0.8341 0.6688  6 Sm 2.85-2.93
Se 0.1654 0.1654 0.8347  6 Sm 3.01-3.02
Se 0.5000 0.5000 0.5000  6 Sm 3.00-3.01
Se 0.8346 0.8346 0.1653  6 Sm 3.01-3.02
S 0.5000 0.5000 0.0000  6 Sm 2.91

No. 3
A relaxed structure of Tb6Si2SeS3, computed with PBE.

Results
- Crystal system: monoclinic
- Space-group type: C2/m

a = 9.0213 Å, b = 9.0213 Å, c = 8.0957 Å
α = 102.47°, β = 102.47°, γ = 25.89°
Closest atoms and distances in Å follow each position.
Fractional positions:
Tb 0.0034 0.0034 0.2623  1 Si 2.80, 3 S 2.80-2.88, 2 Se 2.92
Tb 0.3300 0.3300 0.9084  2 Si 2.82, 3 S 2.84-2.88, 1 Se 2.92
Tb 0.3330 0.3330 0.4169  3 Si 2.85-2.86, 3 S 2.86-2.89
Tb 0.6670 0.6670 0.5831  3 Si 2.85-2.86, 3 S 2.86-2.89
Tb 0.6700 0.6700 0.0916  2 Si 2.82, 3 S 2.84-2.88, 1 Se 2.92
Tb 0.9966 0.9966 0.7377  1 Si 2.80, 3 S 2.80-2.88, 2 Se 2.92
Si 0.1665 0.1665 0.3334  6 Tb 2.80-2.86
Si 0.8335 0.8335 0.6666  6 Tb 2.80-2.86
Se 0.5000 0.5000 0.0000  6 Tb 2.92
S 0.1642 0.1642 0.8361  6 Tb 2.84-2.89
S 0.5000 0.5000 0.5000  6 Tb 2.80-2.86
S 0.8358 0.8358 0.1639  6 Tb 2.84-2.89

Final energy per entry: -0.454 -0.443 -0.451 Ry/atom
Raw formation energy per entry: -1.590 -1.548 -1.592 eV/atom